# PBE+U Cr3GeO6, optimized geometry
# final energy = -7.305 eV/atom
data_Cr3GeO6
_cell_length_a 8.315
_cell_length_b 10.686
_cell_length_c 5.021
_cell_angle_alpha 90.00
_cell_angle_beta 90.00
_cell_angle_gamma 90.00
_symmetry_space_group_name_H-M 'C m c 21'
_symmetry_Int_Tables_number 36
_symmetry_space_group_name_Hall 'C 2c -2'
loop_
_atom_site_label
_atom_site_type_symbol
_atom_site_fract_x
_atom_site_fract_y
_atom_site_fract_z
Cr1 Cr 0.000 0.101 0.000
Cr2 Cr 0.201 0.392 0.022
Ge1 Ge 0.000 0.305 0.589
O1 O 0.000 0.309 0.243
O2 O 0.000 0.441 0.800
O3 O 0.160 0.223 0.753
O4 O 0.182 0.029 0.229